1.
Cu2HgGeTe3S | GGA-PBE | relaxed

Values from the calculation:
**Crystal system**: monoclinic
**Final energy**: -54.16 eV per cell

a b c (Å): 8.5905 8.6176 7.1940
angles (deg): 90.00 125.59 90.00
Last column: nearest neighbours and their distance in Å.
Space group Cm (No. 8)
One atom of each set of equivalent atoms:
Cu1 0.0000 0.2247 0.0000  1 S 2.30
Hg1 0.4801 0.0000 0.4711  1 S 2.69, 3 Te 2.83-2.90
Ge1 0.0050 0.0000 0.4614  1 S 2.33
Te1 0.1215 0.5000 0.1898  2 Cu 2.63, 1 Ge 2.68, 1 Hg 2.90
Te2 0.1329 0.2346 0.7560  2 Cu 2.59, 1 Ge 2.66, 1 Hg 2.83
S1 0.0945 0.0000 0.2112  2 Cu 2.30, 1 Ge 2.33


2.
SrTaN2O | GGA-PBE | relaxed

Values from the calculation:
**Crystal system**: orthorhombic
**Final energy**: -170.26 eV per cell

a b c (Å): 11.5324 4.0824 5.7876
angles (deg): 90.00 90.00 90.00
Last column: nearest neighbours and their distance in Å.
Space group Pmma (No. 51)
One atom of each set of equivalent atoms:
Sr1 0.0000 0.0000 0.0000  8 N 2.83-2.89, 4 O 2.96
Sr2 0.2500 0.0000 0.4849  4 O 2.77, 8 N 2.78-3.00
Ta1 0.0000 0.5000 0.5000  2 O 2.02, 4 N 2.04-2.06
Ta2 0.2500 0.5000 0.9865  4 N 1.98-2.04, 2 O 2.12
N1 0.0000 0.0000 0.5000  2 Ta 2.04
N2 0.1205 0.5000 0.7618  2 Ta 1.98-2.06
N3 0.2500 0.0000 0.0038  2 Ta 2.04
O1 0.1301 0.5000 0.2652  2 Ta 2.02-2.12


3.
LiPdNO | GGA-PBE | relaxed

Values from the calculation:
**Crystal system**: tetragonal
**Final energy**: -41.30 eV per cell
**ΔE to the lowest computed polymorph**: 0 meV per atom

a b c (Å): 4.1788 4.1788 4.2844
angles (deg): 90.00 90.00 90.00
Last column: nearest neighbours and their distance in Å.
Space group P4/nmm (No. 129, origin choice 2)
One atom of each set of equivalent atoms:
Li1 0.2500 0.2500 0.0007  4 O 2.09, 2 N 2.14
Pd1 0.2500 0.7500 0.5000  4 N 2.09, 2 O 2.14
N1 0.2500 0.2500 0.5009  4 Pd 2.09, 2 Li 2.14
O1 0.2500 0.7500 0.0000  4 Li 2.09, 2 Pd 2.14


4.
HgTe4Mo2 | GGA-PBE | relaxed

Values from the calculation:
**Crystal system**: tetragonal
**Final energy**: -64.20 eV per cell

a b c (Å): 6.2724 6.2724 11.9150
angles (deg): 90.00 90.00 90.00
Last column: nearest neighbours and their distance in Å.
Space group I-4 (No. 82)
One atom of each set of equivalent atoms:
Hg1 0.0000 0.0000 0.0000  4 Te 2.96
Te1 0.2212 0.2323 0.3579  2 Mo 2.61-2.63
Mo1 0.0000 0.0000 0.5000  4 Te 2.63
Mo2 0.0000 0.5000 0.7500  4 Te 2.61


5.
SrSi2Au | GGA-PBE | relaxed

Values from the calculation:
**Crystal system**: cubic
**Final energy**: -61.36 eV per cell

a b c (Å): 7.0082 7.0082 7.0082
angles (deg): 90.00 90.00 90.00
Last column: nearest neighbours and their distance in Å.
Space group F-43m (No. 216)
One atom of each set of equivalent atoms:
Sr1 0.0000 0.0000 0.0000  4 Si 3.03, 4 Au 3.03
Si1 0.0000 0.0000 0.5000  4 Si 3.03, 4 Au 3.03
Si2 0.2500 0.2500 0.7500  4 Sr 3.03, 4 Si 3.03
Au1 0.2500 0.2500 0.2500  4 Sr 3.03, 4 Si 3.03


6.
AcFeB | GGA-PBE | relaxed

Values from the calculation:
**Crystal system**: cubic
**Final energy**: -65.14 eV per cell
**ΔE to the lowest computed polymorph**: 208 meV per atom

a b c (Å): 6.0705 6.0705 6.0705
angles (deg): 90.00 90.00 90.00
Last column: nearest neighbours and their distance in Å.
Space group F-43m (No. 216)
One atom of each set of equivalent atoms:
Ac1 0.0000 0.0000 0.0000  4 Fe 2.63
Fe1 0.2500 0.2500 0.7500  4 Ac 2.63, 4 B 2.63
B1 0.0000 0.0000 0.5000  4 Fe 2.63